1.
Compound: Nd5SmGa6
Source: the Alexandria database
Functional: PBE
Structure: optimized geometry

a b c (Å): 5.2106 7.3777 9.0251
angles (deg): 65.92 73.42 89.96
Space group P-1 (No. 2)
One atom of each set of equivalent atoms:
Nd 0.0000 0.0000 0.0000
Nd 0.3316 0.3316 0.3368
Nd 0.3343 0.8343 0.3315
Sm 0.0000 0.5000 0.0000
Ga 0.1653 0.9130 0.6692
Ga 0.1656 0.4180 0.6690
Ga 0.5001 0.2549 0.0001

## Properties
E_form: -12.84 kcal/mol of atoms

***

2.
Compound: CeDy4Tm2
Source: the Alexandria database
Functional: PBE
Structure: optimized geometry

a b c (Å): 6.1569 3.5555 19.9553
angles (deg): 90.00 95.91 90.00
Space group Cm (No. 8)
One atom of each set of equivalent atoms:
Ce 0.0000 0.0000 0.0000
Dy 0.0976 0.0000 0.2887
Dy 0.1185 0.5000 0.8554
Dy 0.1915 0.0000 0.5709
Dy 0.2153 0.5000 0.1449
Tm 0.3112 0.5000 0.4300
Tm 0.4049 0.5000 0.7135

## Properties
E_form: 0.82 kcal/mol of atoms
Energy above the lowest structure with this stoichiometry: 0.0000 eV/atom

***

3.
Compound: NpNiAs3
Source: the Alexandria database
Functional: PBE
Structure: optimized geometry

a b c (Å): 11.7745 5.6173 5.5247
angles (deg): 90.00 90.00 90.00
Space group Pbcm (No. 57)
One atom of each set of equivalent atoms:
Np 0.1937 0.0081 0.2500
Ni 0.4136 0.7500 0.0000
As 0.0023 0.7500 0.0000
As 0.2682 0.5115 0.2500
As 0.4355 0.1051 0.2500

## Properties
E_form: -10.13 kcal/mol of atoms

***

4.
Compound: LiZr
Source: the Alexandria database
Functional: PBE
Structure: optimized geometry

a b c (Å): 13.4001 3.0184 6.3289
angles (deg): 90.00 103.55 90.00
Space group Cm (No. 8)
One atom of each set of equivalent atoms:
Li 0.0000 0.0000 0.0000
Li 0.0082 0.0000 0.5475
Li 0.3486 0.0000 0.6905
Zr 0.1700 0.5000 0.3484
Zr 0.1889 0.5000 0.8684
Zr 0.3412 0.0000 0.2053

## Properties
E_form: 4.91 kcal/mol of atoms
Energy above the lowest structure with this stoichiometry: 0.1293 eV/atom

***

5.
Compound: Li2PrScSe4
Source: the Alexandria database
Functional: PBE
Structure: optimized geometry

a b c (Å): 6.8926 4.0598 7.0406
angles (deg): 90.00 109.86 90.00
Space group P2/m (No. 10)
One atom of each set of equivalent atoms:
Li 0.0000 0.0000 0.0000
Li 0.0000 0.5000 0.5000
Pr 0.5000 0.0000 0.5000
Sc 0.5000 0.5000 0.0000
Se 0.2434 0.5000 0.2269
Se 0.2534 0.0000 0.7699

## Properties
Energy: -0.383 Ry per atom

***

6.
Compound: BaCoSe2
Source: the Alexandria database
Functional: PBE
Structure: optimized geometry

a b c (Å): 3.9098 8.0394 7.6121
angles (deg): 90.00 90.00 90.00
Space group Cmmm (No. 65)
One atom of each set of equivalent atoms:
Ba 0.0000 0.0000 0.0000
Co 0.0000 0.0000 0.5000
Se 0.0000 0.5000 0.3110

## Properties
Energy: -0.331 Ry per atom

***

7.
Compound: Cr4ReCl
Source: the Alexandria database
Functional: PBE
Structure: optimized geometry

a b c (Å): 6.8208 6.8208 6.8208
angles (deg): 90.00 90.00 90.00
Space group F-43m (No. 216)
One atom of each set of equivalent atoms:
Cr 0.1246 0.1246 0.1246
Re 0.0000 0.0000 0.5000
Cl 0.2500 0.2500 0.7500

## Properties
Energy: -0.585 Ry per atom

***

8.
Compound: Sr2AsIr
Source: the Alexandria database
Functional: PBE
Structure: optimized geometry

a b c (Å): 4.1642 4.8653 4.8776
angles (deg): 90.00 90.00 90.00
Space group Pmmm (No. 47)
One atom of each set of equivalent atoms:
Sr 0.0000 0.0000 0.0000
Sr 0.0000 0.5000 0.5000
As 0.5000 0.0000 0.5000
Ir 0.5000 0.5000 0.0000

## Properties
E_form: -7.31 kcal/mol of atoms

***

9.
Compound: KRuBr6
Source: the Alexandria database
Functional: PBE
Structure: optimized geometry

a b c (Å): 8.9399 9.3837 7.8208
angles (deg): 90.00 119.45 90.00
Space group C2/m (No. 12)
One atom of each set of equivalent atoms:
K 0.0000 0.0000 0.0000
Ru 0.0000 0.5000 0.5000
Br 0.1245 0.3109 0.7594
Br 0.2348 0.0000 0.5225

## Properties
Energy: -0.227 Ry per atom

***

10.
Compound: CrSi2W
Source: the Alexandria database
Functional: PBE
Structure: optimized geometry

a b c (Å): 5.4618 7.5974 2.7778
angles (deg): 90.00 107.82 90.00
Space group C2/m (No. 12)
One atom of each set of equivalent atoms:
Cr 0.0000 0.0000 0.0000
Si 0.2500 0.2500 0.5000
W 0.0000 0.5000 0.0000

## Properties
Energy above the lowest structure with this stoichiometry: 0.3452 eV/atom

***

11.
Compound: Pm2TaZn
Source: the Alexandria database
Functional: PBE
Structure: optimized geometry

a b c (Å): 3.1864 3.1864 33.8531
angles (deg): 90.00 90.00 120.00
Space group R-3m (No. 166, hexagonal axes)
One atom of each set of equivalent atoms:
Pm 0.0000 0.0000 0.0902
Ta 0.0000 0.0000 0.0000
Zn 0.0000 0.0000 0.5000

## Properties
E_form: 13.69 kcal/mol of atoms

***

12.
Compound: ZrPt2Rh
Source: the Alexandria database
Functional: PBE
Structure: optimized geometry

a b c (Å): 2.8896 2.8896 7.9750
angles (deg): 90.00 90.00 90.00
Space group P4mm (No. 99)
One atom of each set of equivalent atoms:
Zr 0.0000 0.0000 0.0000
Pt 0.0000 0.0000 0.5128
Pt 0.5000 0.5000 0.2591
Rh 0.5000 0.5000 0.7580

## Properties
E_form: -9.33 kcal/mol of atoms